# U2Co7Ge, optimized geometry, DFT PBE
# Crystal system: tetragonal
# Space group: No. 139
# Total energy, eV per cell: -76.9
# Formation energy, meV/atom: 7
data_U2Co7Ge
_chemical_formula_sum 'U2 Co7 Ge1'
_symmetry_space_group_name_H-M 'P 1'
_symmetry_Int_Tables_number 1
_cell_length_a 11.057
_cell_length_b 11.057
_cell_length_c 11.057
_cell_angle_alpha 161.36
_cell_angle_beta 161.36
_cell_angle_gamma 26.47
loop_
_symmetry_equiv_pos_as_xyz
'x,y,z'
loop_
_atom_site_label
_atom_site_fract_x
_atom_site_fract_y
_atom_site_fract_z
_atom_site_occupancy
U1 0.163 0.163 0.000 1
U2 0.837 0.837 0.000 1
Co1 0.000 0.000 0.000 1
Co2 0.084 0.584 0.500 1
Co3 0.250 0.750 0.500 1
Co4 0.416 0.916 0.500 1
Co5 0.584 0.084 0.500 1
Co6 0.750 0.250 0.500 1
Co7 0.916 0.416 0.500 1
Ge1 0.500 0.500 0.000 1